{"formula": "BH2Rh", "functional": "GGA-PBEsol", "state": "relaxed", "cell": [[-1.493, 1.493, 7.002], [1.493, -1.493, 7.002], [1.493, 1.493, -7.002]], "species": ["B", "B", "H", "H", "H", "H", "Rh", "Rh"], "fractional_positions": [[0.375, 0.625, 0.750], [0.625, 0.375, 0.250], [0.000, 0.000, 0.000], [0.000, 0.000, 0.500], [0.000, 0.500, 0.000], [0.500, 0.000, 0.500], [0.125, 0.875, 0.250], [0.875, 0.125, 0.750]], "crystal_system": "tetragonal", "e_tot_ev_per_atom": -5.01, "rho_g_cm3": 6.2, "magmom_total_mub_per_fu": 0.0, "space_group": "I4_1/amd, No. 141"}

=====

{"formula": "BHRh2", "functional": "GGA-PBEsol", "state": "relaxed", "cell": [[0.000, 2.632, 2.632], [2.632, 0.000, 2.632], [2.632, 2.632, 0.000]], "species": ["B", "H", "Rh", "Rh"], "fractional_positions": [[0.000, 0.000, 0.000], [0.500, 0.500, 0.500], [0.250, 0.250, 0.250], [0.750, 0.750, 0.750]], "crystal_system": "cubic", "e_tot_ev_per_atom": -6.55, "rho_g_cm3": 9.9, "magmom_total_mub_per_fu": 0.0, "space_group": "Fm-3m, No. 225"}